[1]
LiPm2P4Pt3: optimized geometry, PBE.

The structure belongs to space group P-4m2 (No. 115); the cell edges are 4.278, 4.278 and 9.605 Å and the angles 90.00°, 90.00° and 90.00°. Symmetry generates all atoms from Li at (0.000, 0.000, 0.000), Pm at (0.000, 0.500, 0.746), P at (0.000, 0.000, 0.500), P at (0.000, 0.500, 0.133), P at (0.500, 0.500, 0.500), Pt at (0.000, 0.500, 0.386) and Pt at (0.500, 0.500, 0.000).

The volume is 17.574 Å³ per atom. The value obtained for the formation energy is -1.012 eV per atom. As for the density of states at the Fermi level: 1.350 states/eV/f.u. The total magnetic moment is 0.0 μB/cell. Its calculated total energy is -6.130 eV/atom.

[2]
LiPm2P3Pt12: optimized geometry, PBE.

The structure belongs to space group R-3m (No. 166, hexagonal axes); the cell edges are 8.2801, 8.2801 and 17.4159 Å and the angles 90.00°, 90.00° and 120.00°. Symmetry generates all atoms from Li at (0.0000, 0.0000, 0.0000), Pm at (0.0000, 0.0000, 0.3857), P at (0.0000, 0.5000, 0.5000), Pt at (0.0066, 0.5033, 0.6295) and Pt at (0.0351, 0.5176, 0.8610).

The volume is 19.149 Å³ per atom. The value obtained for the formation energy is -0.483 eV per atom. As for the density of states at the Fermi level: 4.792 states/eV/f.u. The total magnetic moment is 0.0 μB/cell. Its calculated total energy is -6.046 eV/atom.

[3]
LiPm2PPt6: optimized geometry, PBE.

The structure belongs to space group Pmmn (No. 59, origin choice 2); the cell edges are 5.590, 8.674 and 7.964 Å and the angles 90.00°, 90.00° and 90.00°. Symmetry generates all atoms from Li at (0.250, 0.250, 0.217), Pm at (0.250, 0.522, 0.775), P at (0.250, 0.750, 0.269), Pt at (0.006, 0.250, 0.487), Pt at (0.009, 0.250, 0.956) and Pt at (0.250, 0.000, 0.384).

The volume is 19.309 Å³ per atom. The value obtained for the formation energy is -0.854 eV per atom. As for the density of states at the Fermi level: 3.279 states/eV/f.u. The total magnetic moment is 0.0 μB/cell. Its calculated total energy is -6.161 eV/atom.

[4]
LiPmP2Pt7: optimized geometry, PBE.

The structure belongs to space group I-4m2 (No. 119); the cell edges are 4.121, 4.121 and 24.894 Å and the angles 90.00°, 90.00° and 90.00°. Symmetry generates all atoms from Li at (0.000, 0.000, 0.000), Pm at (0.000, 0.500, 0.750), P at (0.000, 0.500, 0.113), Pt at (0.000, 0.000, 0.161), Pt at (0.000, 0.000, 0.338), Pt at (0.000, 0.500, 0.026) and Pt at (0.000, 0.500, 0.250).

The volume is 19.214 Å³ per atom. The value obtained for the formation energy is -0.370 eV per atom. As for the density of states at the Fermi level: 3.567 states/eV/f.u. The total magnetic moment is 0.0 μB/cell. Its calculated total energy is -5.803 eV/atom.

[5]
Li2PmP2Pt2: optimized geometry, PBE.

The structure belongs to space group R-3m (No. 166, hexagonal axes); the cell edges are 4.1187, 4.1187 and 23.4941 Å and the angles 90.00°, 90.00° and 120.00°. Symmetry generates all atoms from Li at (0.0000, 0.0000, 0.1430), Pm at (0.0000, 0.0000, 0.0000), P at (0.0000, 0.0000, 0.2515) and Pt at (0.0000, 0.0000, 0.4253).

The volume is 16.436 Å³ per atom. The value obtained for the formation energy is -1.027 eV per atom. As for the density of states at the Fermi level: 1.894 states/eV/f.u. The total magnetic moment is 0.0 μB/cell. Its calculated total energy is -5.524 eV/atom.

[6]
LiPm2P3Pt4: optimized geometry, PBE.

The structure belongs to space group P-4m2 (No. 115); the cell edges are 4.223, 4.223 and 9.735 Å and the angles 90.00°, 90.00° and 90.00°. Symmetry generates all atoms from Li at (0.000, 0.000, 0.000), Pm at (0.000, 0.500, 0.747), P at (0.000, 0.500, 0.362), P at (0.500, 0.500, 0.000), Pt at (0.000, 0.000, 0.500), Pt at (0.000, 0.500, 0.121) and Pt at (0.500, 0.500, 0.500).

The volume is 17.364 Å³ per atom. The value obtained for the formation energy is -1.007 eV per atom. As for the density of states at the Fermi level: 4.301 states/eV/f.u. The total magnetic moment is 0.0 μB/cell. Its calculated total energy is -6.188 eV/atom.

[7]
LiPmP2Pt5: optimized geometry, PBE.

The structure belongs to space group P4/mmm (No. 123); the cell edges are 4.121, 4.121 and 9.745 Å and the angles 90.00°, 90.00° and 90.00°. Symmetry generates all atoms from Li at (0.000, 0.000, 0.000), Pm at (0.000, 0.000, 0.500), P at (0.500, 0.500, 0.267), Pt at (0.000, 0.500, 0.160) and Pt at (0.500, 0.500, 0.500).

The volume is 18.386 Å³ per atom. The value obtained for the formation energy is -0.662 eV per atom. As for the density of states at the Fermi level: 3.652 states/eV/f.u. The total magnetic moment is 0.0 μB/cell. Its calculated total energy is -5.961 eV/atom.

[8]
LiPmP2Rh: optimized geometry, PBE.

The structure belongs to space group Pmma (No. 51); the cell edges are 5.580, 5.387 and 5.538 Å and the angles 90.00°, 90.00° and 90.00°. Symmetry generates all atoms from Li at (0.250, 0.000, 0.078), Pm at (0.250, 0.500, 0.252), P at (0.250, 0.284, 0.743) and Rh at (0.000, 0.000, 0.500).

The volume is 16.646 Å³ per atom. The value obtained for the formation energy is -0.874 eV per atom. As for the density of states at the Fermi level: 1.910 states/eV/f.u. The total magnetic moment is 0.0 μB/cell. Its calculated total energy is -5.841 eV/atom.

[9]
LiPm2P3Rh12: optimized geometry, PBE.

The structure belongs to space group R-3m (No. 166, hexagonal axes); the cell edges are 8.8411, 8.8411 and 12.9360 Å and the angles 90.00°, 90.00° and 120.00°. Symmetry generates all atoms from Li at (0.0000, 0.0000, 0.0000), Pm at (0.0000, 0.0000, 0.3737), P at (0.0000, 0.5000, 0.5000), Rh at (0.0035, 0.5017, 0.6726) and Rh at (0.0298, 0.5149, 0.8804).

The volume is 16.216 Å³ per atom. The value obtained for the formation energy is -0.285 eV per atom. As for the density of states at the Fermi level: 15.014 states/eV/f.u. The total magnetic moment is 0.0 μB/cell. Its calculated total energy is -6.722 eV/atom.

[10]
LiPm2P4Rh3: optimized geometry, PBE.

The structure belongs to space group P-4m2 (No. 115); the cell edges are 4.184, 4.184 and 9.574 Å and the angles 90.00°, 90.00° and 90.00°. Symmetry generates all atoms from Li at (0.000, 0.000, 0.000), Pm at (0.000, 0.500, 0.745), P at (0.000, 0.000, 0.500), P at (0.000, 0.500, 0.139), P at (0.500, 0.500, 0.500), Rh at (0.000, 0.500, 0.390) and Rh at (0.500, 0.500, 0.000).

The volume is 16.763 Å³ per atom. The value obtained for the formation energy is -1.054 eV per atom. As for the density of states at the Fermi level: 3.382 states/eV/f.u. The total magnetic moment is 0.0 μB/cell. Its calculated total energy is -6.565 eV/atom.

[11]
LiPmP2Rh5: optimized geometry, PBE.

The structure belongs to space group P4/mmm (No. 123); the cell edges are 4.081, 4.081 and 8.633 Å and the angles 90.00°, 90.00° and 90.00°. Symmetry generates all atoms from Li at (0.000, 0.000, 0.000), Pm at (0.000, 0.000, 0.500), P at (0.500, 0.500, 0.131), Rh at (0.000, 0.500, 0.248) and Rh at (0.500, 0.500, 0.500).

The volume is 15.973 Å³ per atom. The value obtained for the formation energy is -0.682 eV per atom. As for the density of states at the Fermi level: 5.049 states/eV/f.u. The total magnetic moment is 0.0 μB/cell. Its calculated total energy is -6.709 eV/atom.

[12]
LiPrP: optimized geometry, PBE.

The structure belongs to space group F-43m (No. 216); the cell edges are 6.573, 6.573 and 6.573 Å and the angles 90.00°, 90.00° and 90.00°. Symmetry generates all atoms from Li at (0.000, 0.000, 0.000), Pr at (0.000, 0.000, 0.500) and P at (0.250, 0.250, 0.250).

The volume is 23.661 Å³ per atom. The value obtained for the formation energy is -0.879 eV per atom. As for the density of states at the Fermi level: 1.937 states/eV/f.u. The total magnetic moment is 0.0 μB/cell. Its calculated total energy is -4.914 eV/atom.

[13]
Li3PrP2: optimized geometry, PBE.

The structure belongs to space group C2/m (No. 12); the cell edges are 16.017, 4.027 and 10.005 Å and the angles 90.00°, 100.94° and 90.00°. Symmetry generates all atoms from Li at (0.000, 0.000, 0.000), Li at (0.053, 0.500, 0.839), Li at (0.123, 0.000, 0.731), Li at (0.182, 0.000, 0.490), Li at (0.210, 0.500, 0.907), Pr at (0.000, 0.500, 0.500), Pr at (0.165, 0.500, 0.215), P at (0.044, 0.000, 0.306), P at (0.143, 0.000, 0.987) and P at (0.193, 0.500, 0.649).

The volume is 17.601 Å³ per atom. The value obtained for the formation energy is -0.911 eV per atom. As for the density of states at the Fermi level: 0.027 states/eV/f.u. The total magnetic moment is 0.0 μB/cell. Its calculated total energy is -4.467 eV/atom.

[14]
Li2PrP2: optimized geometry, PBE.

The structure belongs to space group P4/nmm (No. 129, origin choice 2); the cell edges are 4.189, 4.189 and 10.002 Å and the angles 90.00°, 90.00° and 90.00°. Symmetry generates all atoms from Li at (0.250, 0.250, 0.116), Li at (0.250, 0.750, 0.500), Pr at (0.250, 0.250, 0.769), P at (0.250, 0.250, 0.351) and P at (0.250, 0.750, 0.000).

The volume is 17.553 Å³ per atom. The value obtained for the formation energy is -0.892 eV per atom. As for the density of states at the Fermi level: 0.538 states/eV/f.u. The total magnetic moment is 0.0 μB/cell. Its calculated total energy is -4.777 eV/atom.

[15]
LiPrP: optimized geometry, PBE.

The structure belongs to space group P4/nmm (No. 129, origin choice 2); the cell edges are 4.162, 4.162 and 6.967 Å and the angles 90.00°, 90.00° and 90.00°. Symmetry generates all atoms from Li at (0.250, 0.750, 0.000), Pr at (0.250, 0.250, 0.337) and P at (0.250, 0.250, 0.772).

The volume is 20.113 Å³ per atom. The value obtained for the formation energy is -1.017 eV per atom. As for the density of states at the Fermi level: 1.262 states/eV/f.u. The total magnetic moment is 0.0 μB/cell. Its calculated total energy is -5.052 eV/atom.

[16]
Li2PrP2: optimized geometry, PBE.

The structure belongs to space group P-3m1 (No. 164); the cell edges are 4.1856, 4.1856 and 6.8705 Å and the angles 90.00°, 90.00° and 120.00°. Symmetry generates all atoms from Li at (0.3333, 0.6667, 0.1210), Pr at (0.0000, 0.0000, 0.5000) and P at (0.3333, 0.6667, 0.7463).

The volume is 20.848 Å³ per atom. The value obtained for the formation energy is -0.842 eV per atom. As for the density of states at the Fermi level: 2.883 states/eV/f.u. The total magnetic moment is 0.0 μB/cell. Its calculated total energy is -4.728 eV/atom.

[17]
LiPrP: optimized geometry, PBE.

The structure belongs to space group P-6m2 (No. 187); the cell edges are 4.1516, 4.1516 and 4.0677 Å and the angles 90.00°, 90.00° and 120.00°. Symmetry generates all atoms from Li at (0.0000, 0.0000, 0.0000), Pr at (0.3333, 0.6667, 0.5000) and P at (0.6667, 0.3333, 0.0000).

The volume is 20.239 Å³ per atom. The value obtained for the formation energy is -1.008 eV per atom. As for the density of states at the Fermi level: 0.507 states/eV/f.u. The total magnetic moment is 0.9 μB/cell. Its calculated total energy is -5.043 eV/atom.

[18]
Li2Pr3P3: optimized geometry, PBE.

The structure belongs to space group Cmcm (No. 63); the cell edges are 4.096, 11.555 and 14.409 Å and the angles 90.00°, 90.00° and 90.00°. Symmetry generates all atoms from Li at (0.000, 0.230, 0.079), Pr at (0.000, 0.068, 0.609), Pr at (0.000, 0.351, 0.750), P at (0.000, 0.348, 0.250) and P at (0.000, 0.376, 0.551).

The volume is 21.309 Å³ per atom. The value obtained for the formation energy is -1.056 eV per atom. As for the density of states at the Fermi level: 3.680 states/eV/f.u. The total magnetic moment is 2.3 μB/cell. Its calculated total energy is -5.356 eV/atom.

[19]
LiPr2P2: optimized geometry, PBE.

The structure belongs to space group Cmc2_1 (No. 36); the cell edges are 4.136, 15.469 and 7.362 Å and the angles 90.00°, 90.00° and 90.00°. Symmetry generates all atoms from Li at (0.000, 0.098, 0.000), Pr at (0.000, 0.292, 0.796), Pr at (0.000, 0.465, 0.151), P at (0.000, 0.066, 0.354) and P at (0.000, 0.331, 0.416).

The volume is 23.547 Å³ per atom. The value obtained for the formation energy is -1.142 eV per atom. As for the density of states at the Fermi level: 2.743 states/eV/f.u. The total magnetic moment is 0.0 μB/cell. Its calculated total energy is -5.601 eV/atom.

[20]
LiPrP2: optimized geometry, PBE.

The structure belongs to space group Amm2 (No. 38); the cell edges are 4.003, 5.544 and 7.605 Å and the angles 90.00°, 90.00° and 90.00°. Symmetry generates all atoms from Li at (0.000, 0.000, 0.000), Pr at (0.500, 0.000, 0.446) and P at (0.000, 0.200, 0.720).

The volume is 21.099 Å³ per atom. The value obtained for the formation energy is -0.820 eV per atom. As for the density of states at the Fermi level: 1.426 states/eV/f.u. The total magnetic moment is 0.0 μB/cell. Its calculated total energy is -5.198 eV/atom.

[21]
LiPr2P3Pt4: optimized geometry, PBE.

The structure belongs to space group P-4m2 (No. 115); the cell edges are 4.258, 4.258 and 9.741 Å and the angles 90.00°, 90.00° and 90.00°. Symmetry generates all atoms from Li at (0.000, 0.000, 0.000), Pr at (0.000, 0.500, 0.748), P at (0.000, 0.500, 0.363), P at (0.500, 0.500, 0.000), Pt at (0.000, 0.000, 0.500), Pt at (0.000, 0.500, 0.120) and Pt at (0.500, 0.500, 0.500).

The volume is 17.664 Å³ per atom. The value obtained for the formation energy is -1.005 eV per atom. As for the density of states at the Fermi level: 4.468 states/eV/f.u. The total magnetic moment is 0.0 μB/cell. Its calculated total energy is -6.191 eV/atom.

[22]
LiPrP2Pt7: optimized geometry, PBE.

The structure belongs to space group I-4m2 (No. 119); the cell edges are 4.147, 4.147 and 24.739 Å and the angles 90.00°, 90.00° and 90.00°. Symmetry generates all atoms from Li at (0.000, 0.000, 0.000), Pr at (0.000, 0.500, 0.750), P at (0.000, 0.500, 0.112), Pt at (0.000, 0.000, 0.159), Pt at (0.000, 0.000, 0.340), Pt at (0.000, 0.500, 0.024) and Pt at (0.000, 0.500, 0.250).

The volume is 19.337 Å³ per atom. The value obtained for the formation energy is -0.338 eV per atom. As for the density of states at the Fermi level: 4.098 states/eV/f.u. The total magnetic moment is 0.0 μB/cell. Its calculated total energy is -5.774 eV/atom.